Material: Ce2Sm2Bi3
Method: DFT, PBE-GGA
State: relaxed

- size of the total moment (μB/atom) = 0.33
- symmetry = No. 12
- E_form (eV/atom) = -0.553

Structure (POSCAR):
```
Ce2Sm2Bi3
1.0
4.4898 0.0000 0.0000
0.0000 7.7090 0.4629
-2.2449 -1.5532 7.2375
Ce Sm Bi
2 2 3
Direct
0.1157 0.3885 0.2314 Ce
0.8843 0.6115 0.7686 Ce
0.3745 0.1305 0.7490 Sm
0.6255 0.8695 0.2510 Sm
0.0000 0.0000 0.0000 Bi
0.2577 0.7476 0.5155 Bi
0.7423 0.2524 0.4845 Bi
```

=====

Material: Tm3Cu2Ge4
Method: DFT, PBE-GGA
State: relaxed

- size of the total moment (μB/atom) = 0.00
- symmetry = No. 12
- E above lowest polymorph (meV/atom) = 4
- E_form (eV/atom) = -0.639

Structure (POSCAR):
```
Tm3Cu2Ge4
1.0
-2.8328 -2.9948 -0.6476
3.7815 0.2473 -4.2406
3.6885 -4.6745 5.4818
Tm Cu Ge
3 2 4
Direct
0.6600 0.3200 0.6697 Tm
0.0000 0.0000 0.0000 Tm
0.3400 0.6800 0.3303 Tm
0.6134 0.2268 0.2869 Cu
0.3866 0.7732 0.7131 Cu
0.7112 0.4224 0.0581 Ge
0.2888 0.5776 0.9419 Ge
0.9355 0.8711 0.6119 Ge
0.0645 0.1289 0.3881 Ge
```

=====

Material: Tb5Dy5Sc2
Method: DFT, PBE-GGA
State: relaxed

- size of the total moment (μB/atom) = 0.00
- symmetry = No. 12
- E above lowest polymorph (meV/atom) = 76
- E_form (eV/atom) = 0.109

Structure (POSCAR):
```
Tb5Dy5Sc2
1.0
-0.7338 -1.4475 5.3081
-4.1311 -2.6450 -4.1945
10.1097 -6.4976 -0.3744
Tb Dy Sc
5 5 2
Direct
0.5000 0.0000 0.5000 Tb
0.6946 0.3893 0.0329 Tb
0.5730 0.1460 0.2454 Tb
0.4270 0.8540 0.7546 Tb
0.3054 0.6107 0.9671 Tb
0.1797 0.3594 0.4716 Dy
0.7363 0.4726 0.7703 Dy
0.2637 0.5274 0.2297 Dy
0.8203 0.6406 0.5284 Dy
0.0000 0.0000 0.0000 Dy
0.0820 0.1639 0.7100 Sc
0.9180 0.8361 0.2900 Sc
```

=====

Material: K3AsO4
Method: DFT, PBE-GGA
State: relaxed

- size of the total moment (μB/atom) = 0.00
- symmetry = No. 66
- uncorrected formation energy (eV per atom) = -1.693
- E above lowest polymorph (meV/atom) = 9

Structure (POSCAR):
```
K3AsO4
1.0
-2.8385 7.1546 3.6971
-7.0927 -4.5374 1.4209
6.2766 -5.1694 14.8229
K As O
24 8 32
Direct
0.0000 0.0000 0.1083 K
0.0000 0.5000 0.3522 K
0.0000 0.0000 0.8917 K
0.5000 0.0000 0.3882 K
0.7278 0.2191 0.0000 K
0.5000 0.0000 0.8522 K
0.2340 0.2340 0.2500 K
0.7660 0.7660 0.2500 K
0.0000 0.5000 0.6478 K
0.7809 0.2722 0.5000 K
0.5000 0.0000 0.6118 K
0.5000 0.5000 0.8698 K
0.0000 0.5000 0.8882 K
0.5000 0.5000 0.6302 K
0.5000 0.0000 0.1478 K
0.0000 0.0000 0.3917 K
0.2340 0.2340 0.7500 K
0.0000 0.5000 0.1118 K
0.5000 0.5000 0.3698 K
0.7660 0.7660 0.7500 K
0.2722 0.7809 0.0000 K
0.5000 0.5000 0.1302 K
0.0000 0.0000 0.6083 K
0.2191 0.7278 0.5000 K
0.2401 0.2805 0.0000 As
0.7599 0.7195 0.0000 As
0.2678 0.7322 0.7500 As
0.2678 0.7322 0.2500 As
0.7322 0.2678 0.2500 As
0.7322 0.2678 0.7500 As
0.7195 0.7599 0.5000 As
0.2805 0.2401 0.5000 As
0.2274 0.5318 0.7656 O
0.7887 0.1691 0.1670 O
0.2018 0.3154 0.5844 O
0.5318 0.2274 0.7344 O
0.4832 0.2797 0.5000 O
0.1691 0.7887 0.6670 O
0.2113 0.8309 0.8330 O
0.2113 0.8309 0.1670 O
0.7726 0.4682 0.2344 O
0.0365 0.2389 0.0000 O
0.5168 0.7203 0.5000 O
0.8309 0.2113 0.6670 O
0.7203 0.5168 0.0000 O
0.7982 0.6846 0.4156 O
0.9635 0.7611 0.0000 O
0.6846 0.7982 0.0844 O
0.3154 0.2018 0.9156 O
0.8309 0.2113 0.3330 O
0.2018 0.3154 0.4156 O
0.2797 0.4832 0.0000 O
0.2274 0.5318 0.2344 O
0.3154 0.2018 0.0844 O
0.5318 0.2274 0.2656 O
0.7982 0.6846 0.5844 O
0.7611 0.9635 0.5000 O
0.7726 0.4682 0.7656 O
0.1691 0.7887 0.3330 O
0.4682 0.7726 0.7344 O
0.2389 0.0365 0.5000 O
0.7887 0.1691 0.8330 O
0.4682 0.7726 0.2656 O
0.6846 0.7982 0.9156 O
```